1.
First-principles (PBE) data for a relaxed Ba2LiSn2 crystal, as listed in Alexandria via LeMat-Bulk.

a = 6.6434 Å, b = 6.6434 Å, c = 12.6220 Å
α = 116.32°, β = 116.32°, γ = 46.49°
Closest atoms and distances in Å follow each position.
Positions (direct):
1 Ba 0.0227 0.0227 0.3338  4 Li 3.52-3.79, 7 Sn 3.66-3.84
2 Ba 0.1912 0.1912 0.1050  6 Sn 3.61-3.69, 2 Li 4.03
3 Ba 0.8088 0.8088 0.8950  6 Sn 3.61-3.69, 2 Li 4.03
4 Ba 0.9773 0.9773 0.6662  4 Li 3.52-3.79, 7 Sn 3.66-3.84
5 Li 0.2723 0.2723 0.6372  4 Sn 3.00-3.23
6 Li 0.7277 0.7277 0.3628  4 Sn 3.00-3.23
7 Sn 0.3635 0.3635 0.4357  1 Sn 2.92, 3 Li 3.00-3.23
8 Sn 0.4927 0.4927 0.1146  1 Sn 2.98, 1 Li 3.06
9 Sn 0.5073 0.5073 0.8854  1 Sn 2.98, 1 Li 3.06
10 Sn 0.6365 0.6365 0.5643  1 Sn 2.92, 3 Li 3.00-3.23

Calculated formation energy ... -0.580 eV per atom
Spin magnetization ... 0.0 Bohr magnetons per cell
Space-group type ... No. 12
ΔE to the lowest computed polymorph ... 0 meV per atom



2.
First-principles (PBE) data for a relaxed BaLi4Sn crystal, as listed in Alexandria via LeMat-Bulk.

a = 5.8692 Å, b = 5.8692 Å, c = 5.8692 Å
α = 60.00°, β = 60.00°, γ = 60.00°
Closest atoms and distances in Å follow each position.
Positions (direct):
1 Ba 0.0000 0.0000 0.0000  12 Li 3.44, 4 Sn 3.59
2 Li 0.3763 0.3763 0.3763  6 Li 2.90-2.97
3 Li 0.3763 0.3763 0.8710  6 Li 2.90-2.97
4 Li 0.3763 0.8710 0.3763  6 Li 2.90-2.97
5 Li 0.8710 0.3763 0.3763  6 Li 2.90-2.97
6 Sn 0.7500 0.7500 0.7500  12 Li 3.44, 4 Ba 3.59

Calculated formation energy ... -0.226 eV per atom
Spin magnetization ... 0.0 Bohr magnetons per cell
Space-group type ... No. 216
ΔE to the lowest computed polymorph ... 0 meV per atom



3.
First-principles (PBE) data for a relaxed Ba3LiSn crystal, as listed in Alexandria via LeMat-Bulk.

a = 4.3473 Å, b = 9.8717 Å, c = 10.9691 Å
α = 84.68°, β = 89.95°, γ = 77.29°
Closest atoms and distances in Å follow each position.
Positions (direct):
1 Ba 0.0452 0.4097 0.1646  4 Sn 3.71-3.74, 1 Ba 3.86, 1 Li 4.13
2 Ba 0.2435 0.0128 0.8333  3 Sn 3.59-3.69, 2 Li 3.84-3.85
3 Ba 0.4047 0.6912 0.4032  1 Sn 3.59, 3 Li 3.66-3.80
4 Ba 0.5953 0.3088 0.5968  1 Sn 3.59, 3 Li 3.66-3.80
5 Ba 0.7565 0.9872 0.1667  3 Sn 3.59-3.69, 2 Li 3.84-3.85
6 Ba 0.9548 0.5903 0.8354  4 Sn 3.71-3.74, 1 Ba 3.86, 1 Li 4.13
7 Li 0.2097 0.0810 0.4361  2 Li 2.95
8 Li 0.7903 0.9190 0.5639  2 Li 2.95
9 Sn 0.3911 0.7190 0.0748  8 Ba 3.59-3.74
10 Sn 0.6089 0.2810 0.9252  8 Ba 3.59-3.74

Calculated formation energy ... -0.228 eV per atom
Spin magnetization ... 0.0 Bohr magnetons per cell
Space-group type ... No. 2
ΔE to the lowest computed polymorph ... 0 meV per atom



4.
First-principles (PBE) data for a relaxed BaLi2Sn2 crystal, as listed in Alexandria via LeMat-Bulk.

a = 6.8168 Å, b = 6.8168 Å, c = 6.8168 Å
α = 138.06°, β = 138.06°, γ = 60.81°
Closest atoms and distances in Å follow each position.
Positions (direct):
1 Ba 0.0000 0.0000 0.0000  8 Sn 3.73, 8 Li 3.82
2 Li 0.2500 0.7500 0.5000  4 Sn 2.87
3 Li 0.7500 0.2500 0.5000  4 Sn 2.87
4 Sn 0.3792 0.3792 0.0000  1 Sn 2.84, 4 Li 2.87
5 Sn 0.6208 0.6208 0.0000  1 Sn 2.84, 4 Li 2.87

Calculated formation energy ... -0.488 eV per atom
Spin magnetization ... 0.0 Bohr magnetons per cell
Space-group type ... No. 139
ΔE to the lowest computed polymorph ... 0 meV per atom



5.
First-principles (PBE) data for a relaxed Ba2Li3Sn2 crystal, as listed in Alexandria via LeMat-Bulk.

a = 6.7562 Å, b = 6.7562 Å, c = 7.7741 Å
α = 115.16°, β = 115.16°, γ = 42.96°
Closest atoms and distances in Å follow each position.
Positions (direct):
1 Ba 0.1458 0.1458 0.2542  3 Li 3.43-3.62, 4 Sn 3.61-3.66
2 Ba 0.8542 0.8542 0.7458  3 Li 3.43-3.62, 4 Sn 3.61-3.66
3 Li 0.3555 0.3555 0.0868  1 Li 2.88, 3 Sn 2.91-3.02
4 Li 0.5000 0.5000 0.5000  2 Li 2.88, 4 Sn 3.00
5 Li 0.6445 0.6445 0.9132  1 Li 2.88, 3 Sn 2.91-3.02
6 Sn 0.1298 0.1298 0.7073  5 Li 2.91-3.02
7 Sn 0.8702 0.8702 0.2927  5 Li 2.91-3.02

Calculated formation energy ... -0.414 eV per atom
Spin magnetization ... 0.6 Bohr magnetons per cell
Space-group type ... No. 12



6.
First-principles (PBE) data for a relaxed BaLi2Sn crystal, as listed in Alexandria via LeMat-Bulk.

a = 7.5030 Å, b = 7.5030 Å, c = 7.5030 Å
α = 150.38°, β = 134.26°, γ = 55.44°
Closest atoms and distances in Å follow each position.
Positions (direct):
1 Ba 0.0000 0.0000 0.0000  4 Sn 3.49, 2 Ba 3.84, 2 Li 3.91
2 Li 0.2942 0.2942 0.0000  1 Sn 2.73
3 Li 0.7058 0.7058 0.0000  1 Sn 2.73
4 Sn 0.5000 0.5000 0.0000  2 Li 2.73

Calculated formation energy ... -0.067 eV per atom
Spin magnetization ... 0.0 Bohr magnetons per cell
Space-group type ... No. 71



7.
First-principles (PBE) data for a relaxed Ba2SrLi2Sn2 crystal, as listed in Alexandria via LeMat-Bulk.

a = 10.7327 Å, b = 10.7327 Å, c = 10.7327 Å
α = 27.92°, β = 27.92°, γ = 27.92°
Closest atoms and distances in Å follow each position.
Positions (direct):
1 Ba 0.1243 0.1243 0.1243  3 Sn 3.47, 3 Li 3.71, 1 Sr 3.84
2 Ba 0.8757 0.8757 0.8757  3 Sn 3.47, 3 Li 3.71, 1 Sr 3.84
3 Sr 0.0000 0.0000 0.0000  6 Li 3.41, 6 Sn 3.65
4 Li 0.3867 0.3867 0.3867  3 Sn 3.02
5 Li 0.6133 0.6133 0.6133  3 Sn 3.02
6 Sn 0.2657 0.2657 0.2657  3 Li 3.02
7 Sn 0.7343 0.7343 0.7343  3 Li 3.02

Calculated formation energy ... -0.489 eV per atom
Spin magnetization ... 0.0 Bohr magnetons per cell
Space-group type ... No. 166



8.
First-principles (PBE) data for a relaxed BaLiTbSn crystal, as listed in Alexandria via LeMat-Bulk.

a = 5.6131 Å, b = 5.6131 Å, c = 5.6131 Å
α = 60.00°, β = 60.00°, γ = 60.00°
Closest atoms and distances in Å follow each position.
Positions (direct):
1 Ba 0.0000 0.0000 0.0000  4 Li 3.44, 4 Sn 3.44
2 Li 0.7500 0.7500 0.7500  4 Tb 3.44, 4 Ba 3.44
3 Tb 0.5000 0.5000 0.5000  4 Sn 3.44, 4 Li 3.44
4 Sn 0.2500 0.2500 0.2500  4 Tb 3.44, 4 Ba 3.44

Calculated formation energy ... -0.284 eV per atom
Spin magnetization ... 0.0 Bohr magnetons per cell
Space-group type ... No. 216



9.
First-principles (PBE) data for a relaxed BaLiSn2Te crystal, as listed in Alexandria via LeMat-Bulk.

a = 6.0322 Å, b = 6.0322 Å, c = 6.3495 Å
α = 90.00°, β = 90.00°, γ = 90.00°
Closest atoms and distances in Å follow each position.
Positions (direct):
1 Ba 0.0000 0.0000 0.0000  2 Te 3.17
2 Li 0.5000 0.5000 0.0000  4 Ba 4.27, 8 Sn 4.38
3 Sn 0.0000 0.5000 0.5000  2 Te 3.02
4 Sn 0.5000 0.0000 0.5000  2 Te 3.02
5 Te 0.0000 0.0000 0.5000  4 Sn 3.02, 2 Ba 3.17

Spin magnetization ... 0.0 Bohr magnetons per cell
Space-group type ... No. 123
Formation energy without anion corrections ... 71 meV per atom



10.
First-principles (PBE) data for a relaxed BaLiTlSn crystal, as listed in Alexandria via LeMat-Bulk.

a = 5.6204 Å, b = 5.6204 Å, c = 5.6204 Å
α = 60.00°, β = 60.00°, γ = 60.00°
Closest atoms and distances in Å follow each position.
Positions (direct):
1 Ba 0.0000 0.0000 0.0000  4 Tl 3.44, 4 Sn 3.44
2 Li 0.5000 0.5000 0.5000  4 Sn 3.44, 4 Tl 3.44
3 Tl 0.2500 0.2500 0.2500  4 Li 3.44, 4 Ba 3.44
4 Sn 0.7500 0.7500 0.7500  4 Li 3.44, 4 Ba 3.44

Calculated formation energy ... -0.349 eV per atom
Spin magnetization ... 0.0 Bohr magnetons per cell
Space-group type ... No. 216



11.
First-principles (PBE) data for a relaxed Ba2LiTl3Sn4 crystal, as listed in Alexandria via LeMat-Bulk.

a = 4.9039 Å, b = 4.9039 Å, c = 13.4920 Å
α = 90.00°, β = 90.00°, γ = 90.00°
Closest atoms and distances in Å follow each position.
Positions (direct):
1 Ba 0.0000 0.5000 0.2419  6 Tl 3.79-4.08, 4 Sn 3.79, 2 Li 4.08
2 Ba 0.5000 0.0000 0.7581  6 Tl 3.79-4.08, 4 Sn 3.79, 2 Li 4.08
3 Li 0.5000 0.5000 0.0000  4 Sn 3.01
4 Tl 0.0000 0.0000 0.0000  4 Sn 3.01
5 Tl 0.0000 0.5000 0.6456  5 Sn 3.04-3.14
6 Tl 0.5000 0.0000 0.3544  5 Sn 3.04-3.14
7 Sn 0.0000 0.0000 0.5000  4 Tl 3.14, 4 Sn 3.47
8 Sn 0.0000 0.5000 0.8707  3 Tl 3.01-3.04, 2 Li 3.01
9 Sn 0.5000 0.0000 0.1293  3 Tl 3.01-3.04, 2 Li 3.01
10 Sn 0.5000 0.5000 0.5000  4 Tl 3.14, 4 Sn 3.47

Calculated formation energy ... -0.310 eV per atom
Spin magnetization ... 0.0 Bohr magnetons per cell
Space-group type ... No. 115



12.
First-principles (PBE) data for a relaxed Ba2Li3TlSn4 crystal, as listed in Alexandria via LeMat-Bulk.

a = 4.7182 Å, b = 4.7182 Å, c = 12.5729 Å
α = 90.00°, β = 90.00°, γ = 90.00°
Closest atoms and distances in Å follow each position.
Positions (direct):
1 Ba 0.0000 0.5000 0.2438  8 Sn 3.62-3.87, 6 Li 3.62-3.99, 2 Tl 3.99
2 Ba 0.5000 0.0000 0.7562  8 Sn 3.62-3.87, 6 Li 3.62-3.99, 2 Tl 3.99
3 Li 0.0000 0.5000 0.8680  5 Sn 2.80-2.88
4 Li 0.5000 0.0000 0.1320  5 Sn 2.80-2.88
5 Li 0.5000 0.5000 0.5000  4 Sn 2.98, 4 Tl 3.34
6 Tl 0.0000 0.0000 0.5000  4 Sn 2.98, 4 Li 3.34
7 Sn 0.0000 0.0000 0.0000  4 Li 2.88
8 Sn 0.0000 0.5000 0.6452  3 Li 2.80-2.98, 2 Tl 2.98
9 Sn 0.5000 0.0000 0.3548  3 Li 2.80-2.98, 2 Tl 2.98
10 Sn 0.5000 0.5000 0.0000  4 Li 2.88

Calculated formation energy ... -0.463 eV per atom
Spin magnetization ... 0.0 Bohr magnetons per cell
Space-group type ... No. 115



13.
First-principles (PBE) data for a relaxed BaLi4TlSn2 crystal, as listed in Alexandria via LeMat-Bulk.

a = 9.9834 Å, b = 9.9834 Å, c = 9.9834 Å
α = 28.24°, β = 28.24°, γ = 28.24°
Closest atoms and distances in Å follow each position.
Positions (direct):
1 Ba 0.0000 0.0000 0.0000  8 Li 3.53-3.73, 6 Sn 3.74
2 Li 0.1297 0.1297 0.1297  3 Tl 3.01, 3 Sn 3.08, 3 Li 3.24
3 Li 0.4073 0.4073 0.4073  1 Tl 2.66, 3 Sn 2.83
4 Li 0.5927 0.5927 0.5927  1 Tl 2.66, 3 Sn 2.83
5 Li 0.8703 0.8703 0.8703  3 Tl 3.01, 3 Sn 3.08, 3 Li 3.24
6 Tl 0.5000 0.5000 0.5000  2 Li 2.66
7 Sn 0.2475 0.2475 0.2475  6 Li 2.83-3.08
8 Sn 0.7525 0.7525 0.7525  6 Li 2.83-3.08

Calculated formation energy ... -0.364 eV per atom
Spin magnetization ... 0.0 Bohr magnetons per cell
Space-group type ... No. 166



14.
First-principles (PBE) data for a relaxed Ba2Li4TlSn3 crystal, as listed in Alexandria via LeMat-Bulk.

a = 4.8849 Å, b = 4.8849 Å, c = 11.4912 Å
α = 90.00°, β = 90.00°, γ = 90.00°
Closest atoms and distances in Å follow each position.
Positions (direct):
1 Ba 0.0000 0.5000 0.2360  8 Li 3.65-3.75, 7 Sn 3.71-4.08, 2 Tl 3.89
2 Ba 0.5000 0.0000 0.7640  8 Li 3.65-3.75, 7 Sn 3.71-4.08, 2 Tl 3.89
3 Li 0.0000 0.0000 0.0000  4 Sn 2.80
4 Li 0.0000 0.5000 0.6371  3 Sn 2.80-2.91, 2 Tl 2.91
5 Li 0.5000 0.0000 0.3629  3 Sn 2.80-2.91, 2 Tl 2.91
6 Li 0.5000 0.5000 0.0000  4 Sn 2.80
7 Tl 0.0000 0.0000 0.5000  4 Li 2.91
8 Sn 0.0000 0.5000 0.8808  5 Li 2.80
9 Sn 0.5000 0.0000 0.1192  5 Li 2.80
10 Sn 0.5000 0.5000 0.5000  4 Li 2.91

Calculated formation energy ... -0.400 eV per atom
Spin magnetization ... 0.0 Bohr magnetons per cell
Space-group type ... No. 115



15.
First-principles (PBE) data for a relaxed BaLiZnSn2 crystal, as listed in Alexandria via LeMat-Bulk.

a = 6.7818 Å, b = 6.7818 Å, c = 6.7818 Å
α = 138.76°, β = 138.76°, γ = 59.74°
Closest atoms and distances in Å follow each position.
Positions (direct):
1 Ba 0.0000 0.0000 0.0000  8 Sn 3.68, 4 Li 3.79, 4 Zn 3.79
2 Li 0.2500 0.7500 0.5000  4 Sn 2.81
3 Zn 0.7500 0.2500 0.5000  4 Sn 2.81
4 Sn 0.3754 0.3754 0.0000  2 Zn 2.81, 2 Li 2.81, 1 Sn 2.93
5 Sn 0.6246 0.6246 0.0000  2 Zn 2.81, 2 Li 2.81, 1 Sn 2.93

Calculated formation energy ... -0.474 eV per atom
Spin magnetization ... 0.0 Bohr magnetons per cell
Space-group type ... No. 119



16.
First-principles (PBE) data for a relaxed BaLi2ZnSn crystal, as listed in Alexandria via LeMat-Bulk.

a = 5.1836 Å, b = 5.1836 Å, c = 5.2177 Å
α = 90.00°, β = 90.00°, γ = 90.00°
Closest atoms and distances in Å follow each position.
Positions (direct):
1 Ba 0.0000 0.0000 0.0000  4 Sn 3.67, 8 Li 3.68
2 Li 0.0000 0.5000 0.5000  2 Zn 2.59
3 Li 0.5000 0.0000 0.5000  2 Zn 2.59
4 Zn 0.5000 0.5000 0.5000  4 Li 2.59, 2 Sn 2.61
5 Sn 0.5000 0.5000 0.0000  2 Zn 2.61

Calculated formation energy ... -0.168 eV per atom
Spin magnetization ... 0.4 Bohr magnetons per cell
Space-group type ... No. 123



17.
First-principles (PBE) data for a relaxed BaLiZnSn crystal, as listed in Alexandria via LeMat-Bulk.

a = 5.2686 Å, b = 5.2686 Å, c = 5.2686 Å
α = 60.00°, β = 60.00°, γ = 60.00°
Closest atoms and distances in Å follow each position.
Positions (direct):
1 Ba 0.0000 0.0000 0.0000  4 Li 3.23, 4 Zn 3.23
2 Li 0.2500 0.2500 0.2500  4 Ba 3.23, 4 Sn 3.23
3 Zn 0.7500 0.7500 0.7500  4 Sn 3.23, 4 Ba 3.23
4 Sn 0.5000 0.5000 0.5000  4 Zn 3.23, 4 Li 3.23

Calculated formation energy ... -0.302 eV per atom
Spin magnetization ... 0.0 Bohr magnetons per cell
Space-group type ... No. 216



18.
First-principles (PBE) data for a relaxed Ba2Li3ZnSn4 crystal, as listed in Alexandria via LeMat-Bulk.

a = 4.7507 Å, b = 4.7507 Å, c = 11.7855 Å
α = 90.00°, β = 90.00°, γ = 90.00°
Closest atoms and distances in Å follow each position.
Positions (direct):
1 Ba 0.0000 0.5000 0.2416  8 Sn 3.64-3.86, 6 Li 3.65-3.71, 2 Zn 3.71
2 Ba 0.5000 0.0000 0.7584  8 Sn 3.64-3.86, 6 Li 3.65-3.71, 2 Zn 3.71
3 Li 0.0000 0.0000 0.0000  4 Sn 2.78
4 Li 0.0000 0.5000 0.6379  5 Sn 2.83-2.88
5 Li 0.5000 0.0000 0.3621  5 Sn 2.82-2.88
6 Zn 0.5000 0.5000 0.0000  4 Sn 2.78
7 Sn 0.0000 0.0000 0.5000  4 Li 2.88
8 Sn 0.0000 0.5000 0.8776  3 Li 2.78-2.83, 2 Zn 2.78
9 Sn 0.5000 0.0000 0.1224  3 Li 2.78-2.82, 2 Zn 2.78
10 Sn 0.5000 0.5000 0.5000  4 Li 2.88

Calculated formation energy ... -0.466 eV per atom
Spin magnetization ... 0.0 Bohr magnetons per cell
Space-group type ... No. 115



19.
First-principles (PBE) data for a relaxed BaSrLi2 crystal, as listed in Alexandria via LeMat-Bulk.

a = 7.1219 Å, b = 7.1219 Å, c = 7.1219 Å
α = 137.14°, β = 137.14°, γ = 62.23°
Closest atoms and distances in Å follow each position.
Positions (direct):
1 Ba 0.0000 0.0000 0.0000  8 Li 3.68-4.01, 4 Sr 4.01
2 Sr 0.7500 0.2500 0.5000  8 Li 3.68-4.01, 4 Ba 4.01
3 Li 0.2500 0.7500 0.5000  4 Sr 3.68, 4 Li 4.01, 4 Ba 4.01
4 Li 0.5000 0.5000 0.0000  4 Ba 3.68, 4 Li 4.01, 4 Sr 4.01

Calculated formation energy ... 0.120 eV per atom
Spin magnetization ... 0.0 Bohr magnetons per cell
Space-group type ... No. 119
ΔE to the lowest computed polymorph ... 88 meV per atom



20.
First-principles (PBE) data for a relaxed Ba2Sr2Li crystal, as listed in Alexandria via LeMat-Bulk.

a = 9.0029 Å, b = 9.0029 Å, c = 6.7482 Å
α = 90.00°, β = 90.00°, γ = 90.00°
Closest atoms and distances in Å follow each position.
Positions (direct):
1 Ba 0.1529 0.3471 0.0000  2 Li 3.41
2 Ba 0.3471 0.8471 0.0000  2 Li 3.41
3 Ba 0.6529 0.1529 0.0000  2 Li 3.41
4 Ba 0.8471 0.6529 0.0000  2 Li 3.41
5 Sr 0.1676 0.6676 0.5000  6 Ba 4.08-4.44, 1 Sr 4.27
6 Sr 0.3324 0.1676 0.5000  6 Ba 4.08-4.44, 1 Sr 4.27
7 Sr 0.6676 0.8324 0.5000  6 Ba 4.08-4.44, 1 Sr 4.27
8 Sr 0.8324 0.3324 0.5000  6 Ba 4.08-4.44, 1 Sr 4.27
9 Li 0.0000 0.0000 0.0000  4 Ba 3.41
10 Li 0.5000 0.5000 0.0000  4 Ba 3.41

Calculated formation energy ... 0.189 eV per atom
Spin magnetization ... 0.0 Bohr magnetons per cell
Space-group type ... No. 127
ΔE to the lowest computed polymorph ... 170 meV per atom



Record-wise E values, in eV for the cell shown: -33.334, -14.940, -25.648, -16.196, -20.494, -10.020, -20.783, -13.606, -14.628, -11.601, -31.967, -32.593, -22.859, -29.876, -15.484, -11.866, -10.321, -31.531, -6.951, -16.352